Compound: Al2CoAgH
Source: Alexandria
Functional: PBE-GGA
Structure: relaxed

The total energy is -4.225 eV per atom. The volume comes out at 59 Å³ per cell.

POSCAR file:
```
Al2CoAgH
1.0
-1.0083 3.9265 -1.3426
-1.0227 -1.2210 -2.8030
-3.9223 -0.4507 1.6275
H Co Al Ag
1 1 2 1
Cartesian
0.0000 0.0000 0.0000
-0.5114 -0.6105 -1.4015
-1.9612 -0.2254 0.8137
-0.5041 1.9632 -0.6713
-2.9766 1.1274 -1.2590
```